A relaxed structure of PmSmTh2. Source: Alexandria via LeMat-Bulk, functional PBE-GGA.

Cell and atoms, written as CIF:
```
data_PmSmTh2
_chemical_formula_sum 'Pm4 Sm4 Th8'
_cell_length_a 8.973
_cell_length_b 17.815
_cell_length_c 3.544
_cell_angle_alpha 90.00
_cell_angle_beta 98.58
_cell_angle_gamma 90.00
_symmetry_space_group_name_H-M 'C 1 2/c 1'
_symmetry_Int_Tables_number 15
_symmetry_space_group_name_Hall '-C 2yc'
loop_
_atom_site_label
_atom_site_fract_x
_atom_site_fract_y
_atom_site_fract_z
Pm1 0.250 0.250 0.000
Sm1 0.000 0.088 0.750
Th1 0.161 0.418 0.543
```

* polymorph energy (0 for the lowest one): 238 meV per atom
* energy of formation: 25.89 kJ/mol of atoms
* crystal system: monoclinic
* magnetic moment: 0.000 μB per formula unit